# 1
RbMn3V: relaxed, PBE.

a b c (Å): 4.939 4.939 4.939
angles (deg): 90.00 90.00 90.00
Sites, in units of the cell vectors:
Rb: 0.500 0.500 0.500
Mn: 0.000 0.000 0.500
Mn: 0.000 0.500 0.000
Mn: 0.500 0.000 0.000
V: 0.000 0.000 0.000

Output
- calculated formation energy (eV/atom) = 1.07
- excess energy over the best structure of this formula in the dataset (eV per atom) = 0.0000
- uncorrected energy (hartree per atom) = -0.2370

=====

# 2
Y2InIr2: relaxed, PBE.

a b c (Å): 4.709 4.709 6.502
angles (deg): 68.77 68.77 90.00
Sites, in units of the cell vectors:
Ir: 0.611 0.611 0.778
Ir: 0.389 0.389 0.222
Y: 0.750 0.250 0.500
Y: 0.250 0.750 0.500
In: 0.000 0.000 0.000

Output
- calculated formation energy (eV/atom) = -0.28
- uncorrected energy (hartree per atom) = -0.2558

=====

# 3
LaReW2: relaxed, PBE.

a b c (Å): 3.171 3.171 7.781
angles (deg): 90.00 90.00 90.00
Sites, in units of the cell vectors:
La: 0.000 0.000 0.503
W: 0.500 0.500 0.195
W: 0.000 0.000 0.995
Re: 0.500 0.500 0.807

Output
- calculated formation energy (eV/atom) = 0.43
- excess energy over the best structure of this formula in the dataset (eV per atom) = 0.0000
- uncorrected energy (hartree per atom) = -0.3818